The following is a PBE with a Hubbard U calculation of an optimized crystal structure of TaCrGe2O8, from the Alexandria database.

Cell and atoms, written as CIF:
```
data_TaCrGe2O8
_chemical_formula_sum 'Ta2 Cr2 Ge4 O16'
_symmetry_space_group_name_H-M 'I -4 m 2'
_symmetry_Int_Tables_number 119
_symmetry_space_group_name_Hall 'I -4 -2'
_cell_length_a 6.508
_cell_length_b 6.508
_cell_length_c 6.333
_cell_angle_alpha 90.00
_cell_angle_beta 90.00
_cell_angle_gamma 90.00
loop_
_atom_site_label
_atom_site_type_symbol
_atom_site_fract_x
_atom_site_fract_y
_atom_site_fract_z
Ta1 Ta 0.000 0.000 0.000
Cr1 Cr 0.000 0.500 0.250
Ge1 Ge 0.000 0.000 0.500
Ge2 Ge 0.000 0.500 0.750
O1 O 0.000 0.187 0.294
O2 O 0.000 0.304 0.938
```

Properties
- total magnetic moment (μB per formula unit) = 3.00
- calculated density (Mg/m³) = 6.27
- energy (eV per formula unit) = -91.03